{
  "formula": "LiLuCoSi",
  "functional": "GGA-PBE",
  "state": "relaxed",
  "lattice_angstrom": [[4.331, 0.000, 0.000], [2.166, 3.751, 0.000], [2.166, 1.250, 3.537]],
  "species": ["Si", "Lu", "Co", "Li"],
  "frac_coords": [[0.750, 0.750, 0.750], [0.250, 0.250, 0.250], [0.000, 0.000, 0.000], [0.500, 0.500, 0.500]],
  "raw_formation_energy_mev_per_atom": -389,
  "energy_ry_per_atom": -0.377,
  "dos_ef_per_ev_fu": 4.53
}